Material: PrZnIn
Method: DFT, GGA-PBEsol
State: relaxed

a b c (Å): 4.6761 4.6761 7.5598
angles (deg): 90.00 90.00 120.00
Fractional positions:
Pr 0.0000 0.0000 0.5000
Pr 0.0000 0.0000 0.0000
In 0.6667 0.3333 0.7500
In 0.3333 0.6667 0.2500
Zn 0.6667 0.3333 0.2500
Zn 0.3333 0.6667 0.7500

Calculated values
Energy of formation: -470 meV/atom
Space group: P6_3/mmc, No. 194

=====

Material: HfTl3Sn
Method: DFT, GGA-PBEsol
State: relaxed

a b c (Å): 5.4901 5.4901 5.4901
angles (deg): 90.00 90.00 90.00
Fractional positions:
Tl 0.0000 0.0000 0.5000
Tl 0.5000 0.0000 0.0000
Tl 0.0000 0.5000 0.0000
Hf 0.0000 0.0000 0.0000
Sn 0.5000 0.5000 0.5000

Calculated values
Energy of formation: 634 meV/atom
Space group: Pm-3m, No. 221

=====

Material: ReCl3O2
Method: DFT, GGA-PBEsol
State: relaxed

a b c (Å): 7.2162 8.3759 9.1968
angles (deg): 90.00 90.00 90.00
Fractional positions:
Cl 0.0000 0.7612 0.6854
Cl 0.0000 0.3830 0.7825
Cl 0.5000 0.1170 0.2825
Cl 0.5000 0.8830 0.7175
Cl 0.7779 0.5000 0.5000
Cl 0.2779 0.0000 0.0000
Cl 0.5000 0.2612 0.8146
Cl 0.5000 0.7388 0.1854
Cl 0.0000 0.2388 0.3146
Cl 0.0000 0.6170 0.2175
Cl 0.2221 0.5000 0.5000
Cl 0.7221 0.0000 0.0000
O 0.8112 0.1489 0.5894
O 0.3112 0.3511 0.0894
O 0.3112 0.6489 0.9106
O 0.6888 0.6489 0.9106
O 0.1888 0.8511 0.4106
O 0.6888 0.3511 0.0894
O 0.1888 0.1489 0.5894
O 0.8112 0.8511 0.4106
Re 0.0000 0.2677 0.5602
Re 0.5000 0.2323 0.0602
Re 0.0000 0.7323 0.4398
Re 0.5000 0.7677 0.9398

Calculated values
Space group: Pnnm, No. 58
Uncorrected formation energy: -0.91 eV per atom

=====

Material: BaMg2Se2
Method: DFT, GGA-PBEsol
State: relaxed

a b c (Å): 4.2581 4.2581 7.5000
angles (deg): 106.49 106.49 90.00
Fractional positions:
Mg 0.2500 0.7500 0.5000
Mg 0.7500 0.2500 0.5000
Ba 0.0000 0.0000 0.0000
Se 0.3791 0.3791 0.7582
Se 0.6209 0.6209 0.2418

Calculated values
Space group: I4/mmm, No. 139
Uncorrected formation energy: -0.96 eV per atom

=====

Material: TaMnCu2
Method: DFT, GGA-PBEsol
State: relaxed

a b c (Å): 4.2255 4.2255 4.2255
angles (deg): 60.00 60.00 60.00
Each line ends with the local moment (μB).
Fractional positions:
Ta 0.5000 0.5000 0.5000  -0.21
Cu 0.7500 0.7500 0.7500  0.02
Cu 0.2500 0.2500 0.2500  0.02
Mn 0.0000 0.0000 0.0000  3.15

Calculated values
Energy above the lowest structure with this stoichiometry: 0.065 eV per atom
Energy of formation: 242 meV/atom
Space group: Fm-3m, No. 225

=====

Material: Co2TcIr
Method: DFT, GGA-PBEsol
State: relaxed

a b c (Å): 2.5726 4.1470 4.7383
angles (deg): 90.00 95.56 90.00
Each line ends with the local moment (μB).
Fractional positions:
Co 0.1454 0.0000 0.2519  1.30
Co 0.8546 0.0000 0.7481  1.30
Ir 0.5000 0.5000 0.0000  0.25
Tc 0.0000 0.5000 0.5000  0.18

Calculated values
Energy above the lowest structure with this stoichiometry: 0.276 eV per atom
Energy of formation: 278 meV/atom
Space group: P2/m, No. 10

=====

Material: LiNi5O3F5
Method: DFT, GGA-PBEsol
State: relaxed

a b c (Å): 5.8373 5.8373 5.9929
angles (deg): 60.86 60.86 60.00
Each line ends with the local moment (μB).
Fractional positions:
Ni 0.1093 0.6224 0.6459  1.43
Ni 0.6224 0.6224 0.6459  1.43
Ni 0.6306 0.6306 0.1082  1.36
Ni 0.6224 0.1093 0.6459  1.43
Ni 0.0296 0.0296 0.9113  -0.77
F 0.8683 0.8683 0.3951  0.15
F 0.3823 0.8473 0.3882  0.08
F 0.3823 0.3823 0.3882  0.08
F 0.3763 0.3763 0.8711  0.13
F 0.8473 0.3823 0.3882  0.08
O 0.4036 0.8659 0.8646  0.16
O 0.8659 0.4036 0.8646  0.16
O 0.8659 0.8659 0.8646  0.16
Li 0.2457 0.2457 0.2629  0.00

Calculated values
Space group: R3m, No. 160
Uncorrected formation energy: -1.32 eV per atom

=====

Material: LaTa2P
Method: DFT, GGA-PBEsol
State: relaxed

a b c (Å): 3.3329 3.3329 7.0456
angles (deg): 90.00 90.00 90.00
Fractional positions:
La 0.5000 0.5000 0.0000
Ta 0.0000 0.0000 0.6771
Ta 0.0000 0.0000 0.3229
P 0.5000 0.5000 0.5000

Calculated values
Energy of formation: -57 meV/atom
Space group: P4/mmm, No. 123

=====

Material: SiSnSb2Te
Method: DFT, GGA-PBEsol
State: relaxed

a b c (Å): 5.5015 5.5015 5.5537
angles (deg): 90.00 90.00 90.00
Fractional positions:
Sb 0.0000 0.5000 0.0000
Sb 0.5000 0.0000 0.0000
Si 0.5000 0.5000 0.5000
Te 0.0000 0.0000 0.5000
Sn 0.0000 0.0000 0.0000

Calculated values
Energy above the lowest structure with this stoichiometry: 0.645 eV per atom
Space group: P4/mmm, No. 123
Uncorrected formation energy: 1.09 eV per atom

=====

Material: LaGa3P
Method: DFT, GGA-PBEsol
State: relaxed

a b c (Å): 5.4941 5.4941 5.4941
angles (deg): 90.00 90.00 90.00
Fractional positions:
La 0.0000 0.0000 0.0000
Ga 0.0000 0.0000 0.5000
Ga 0.5000 0.0000 0.0000
Ga 0.0000 0.5000 0.0000
P 0.5000 0.5000 0.5000

Calculated values
Energy of formation: 1273 meV/atom
Space group: Pm-3m, No. 221

=====

Material: SrInSi2
Method: DFT, GGA-PBEsol
State: relaxed

a b c (Å): 4.1968 4.5517 4.5517
angles (deg): 90.00 90.00 90.00
Fractional positions:
Si 0.0000 0.5000 0.0000
Si 0.0000 0.0000 0.5000
In 0.5000 0.5000 0.5000
Sr 0.5000 0.0000 0.0000

Calculated values
Space group: P4/mmm, No. 123
Uncorrected formation energy: -0.01 eV per atom

=====

Material: CoIr2Os
Method: DFT, GGA-PBEsol
State: relaxed

a b c (Å): 2.6684 3.7228 5.2995
angles (deg): 90.00 90.00 90.00
Each line ends with the local moment (μB).
Fractional positions:
Co 0.5000 0.5000 0.7476  -0.01
Ir 0.0000 0.0000 0.9869  0.11
Ir 0.5000 0.5000 0.2572  -0.03
Os 0.0000 0.0000 0.5083  0.90

Calculated values
Energy above the lowest structure with this stoichiometry: 0.038 eV per atom
Energy of formation: 58 meV/atom
Space group: Pmm2, No. 25

=====

Material: RbHgI3
Method: DFT, GGA-PBEsol
State: relaxed

a b c (Å): 5.8993 5.8993 5.8993
angles (deg): 90.00 90.00 90.00
Fractional positions:
I 0.0000 0.0000 0.5000
I 0.5000 0.0000 0.0000
I 0.0000 0.5000 0.0000
Hg 0.0000 0.0000 0.0000
Rb 0.5000 0.5000 0.5000

Calculated values
Space group: Pm-3m, No. 221
Uncorrected formation energy: -0.69 eV per atom

=====

Material: MnAl2Co
Method: DFT, GGA-PBEsol
State: relaxed

a b c (Å): 2.8042 2.8042 6.0433
angles (deg): 90.00 90.00 90.00
Each line ends with the local moment (μB).
Fractional positions:
Al 0.0000 0.0000 0.7652  -0.03
Al 0.0000 0.0000 0.2348  -0.03
Co 0.5000 0.5000 0.0000  -0.06
Mn 0.5000 0.5000 0.5000  2.06

Calculated values
Energy of formation: -412 meV/atom
Space group: P4/mmm, No. 123

=====

Material: TiZnH2Pb
Method: DFT, GGA-PBEsol
State: relaxed

a b c (Å): 3.8720 3.8720 5.8252
angles (deg): 90.00 90.00 90.00
Each line ends with the local moment (μB).
Fractional positions:
Ti 0.0000 0.0000 0.5000  1.30
H 0.5000 0.0000 0.0000  0.01
H 0.0000 0.5000 0.0000  0.01
Pb 0.0000 0.0000 0.0000  0.01
Zn 0.5000 0.5000 0.5000  0.13

Calculated values
Space group: P4/mmm, No. 123

=====

Material: AlIrRu
Method: DFT, GGA-PBEsol
State: relaxed

a b c (Å): 2.7660 3.7459 4.6052
angles (deg): 114.00 107.48 90.00
Fractional positions:
Ir 0.3343 0.3343 0.6687
Ru 0.6658 0.6658 0.3315
Al 0.0000 0.0000 0.9999

Calculated values
Energy of formation: -274 meV/atom
Space group: Imm2, No. 44

=====

Material: BeInTe2
Method: DFT, GGA-PBEsol
State: relaxed

a b c (Å): 4.5804 4.5804 8.0248
angles (deg): 73.42 73.42 60.00
Fractional positions:
In 0.5000 0.5000 0.5000
Te 0.0981 0.0981 0.7058
Te 0.9019 0.9019 0.2942
Be 0.0000 0.0000 0.0000

Calculated values
Energy above the lowest structure with this stoichiometry: 0.253 eV per atom
Space group: R-3m, No. 166
Uncorrected formation energy: 0.15 eV per atom

=====

Material: YMn2Cr
Method: DFT, GGA-PBEsol
State: relaxed

a b c (Å): 3.8616 3.8956 5.5056
angles (deg): 110.70 90.00 119.71
Fractional positions:
Mn 0.3115 0.6231 0.9368
Mn 0.9900 0.9800 0.9700
Y 0.5024 0.0047 0.5050
Cr 0.6961 0.3922 0.0883

Calculated values
Energy above the lowest structure with this stoichiometry: 0.000 eV per atom
Energy of formation: 295 meV/atom
Space group: Cm, No. 8

=====

Material: CrCo3
Method: DFT, GGA-PBEsol
State: relaxed

a b c (Å): 2.4551 4.2435 4.6294
angles (deg): 117.28 105.38 90.00
Each line ends with the local moment (μB).
Fractional positions:
Co 0.2507 0.2521 0.5014  0.82
Co 0.7493 0.7507 0.4986  0.82
Co 0.0000 0.6648 0.0000  0.81
Cr 0.5000 0.1656 0.0000  -0.52

Calculated values
Energy above the lowest structure with this stoichiometry: 0.092 eV per atom
Energy of formation: 54 meV/atom
Space group: Imm2, No. 44

=====

Material: BeNiP2Cl
Method: DFT, GGA-PBEsol
State: relaxed

a b c (Å): 4.1556 4.1556 4.3577
angles (deg): 90.00 90.00 90.00
Fractional positions:
P 0.0000 0.5000 0.0000
P 0.5000 0.0000 0.0000
Be 0.0000 0.0000 0.0000
Ni 0.5000 0.5000 0.5000
Cl 0.0000 0.0000 0.5000

Calculated values
Space group: P4/mmm, No. 123
Uncorrected formation energy: 0.75 eV per atom

=====

Material: CaZnRh
Method: DFT, GGA-PBEsol
State: relaxed

a b c (Å): 3.4006 4.3574 4.3574
angles (deg): 120.00 90.00 90.00
Fractional positions:
Ca 0.0000 0.0000 0.0000
Zn 0.5000 0.3333 0.6667
Rh 0.5000 0.6667 0.3333

Calculated values
Energy of formation: -318 meV/atom
Space group: P-6m2, No. 187

=====

Material: Mg5Ga2
Method: DFT, GGA-PBEsol
State: relaxed

a b c (Å): 5.9522 6.9889 8.1814
angles (deg): 115.28 111.33 90.00
Fractional positions:
Mg 0.9165 0.5702 0.8331
Mg 0.5175 0.7675 0.5350
Mg 0.0175 0.7675 0.5350
Mg 0.9825 0.2325 0.4650
Mg 0.0835 0.4298 0.1669
Mg 0.2500 0.0000 0.0000
Mg 0.4165 0.2629 0.8331
Mg 0.4825 0.2325 0.4650
Mg 0.7500 0.0000 0.0000
Mg 0.5835 0.7371 0.1669
Ga 0.6227 0.3867 0.2454
Ga 0.1227 0.8586 0.2454
Ga 0.8773 0.1414 0.7546
Ga 0.3773 0.6133 0.7546

Calculated values
Energy of formation: -138 meV/atom
Space group: Ibam, No. 72

=====

Material: SrLaW2
Method: DFT, GGA-PBEsol
State: relaxed

a b c (Å): 3.2500 4.4181 8.3009
angles (deg): 92.98 90.00 111.58
Fractional positions:
Sr 0.7353 0.4706 0.1801
W 0.9838 0.9676 0.9253
W 0.2634 0.5267 0.8104
La 0.5175 0.0350 0.5842

Calculated values
Energy of formation: 781 meV/atom
Space group: Cm, No. 8

=====

Material: Zr3Te
Method: DFT, GGA-PBEsol
State: relaxed

a b c (Å): 5.5951 8.4359 8.4359
angles (deg): 83.69 70.63 70.63
Fractional positions:
Zr 0.8904 0.9788 0.8149
Zr 0.6193 0.3774 0.3399
Zr 0.4531 0.9699 0.5952
Zr 0.0033 0.6601 0.3774
Zr 0.0408 0.3399 0.6226
Zr 0.1308 0.1851 0.9788
Zr 0.0182 0.0301 0.4048
Zr 0.9517 0.5952 0.0301
Zr 0.3366 0.6226 0.6601
Zr 0.2947 0.8149 0.0212
Zr 0.6841 0.0212 0.1851
Zr 0.5769 0.4048 0.9699
Te 0.4919 0.7432 0.3195
Te 0.1886 0.3195 0.2568
Te 0.7649 0.6805 0.7432
Te 0.5546 0.2568 0.6805

Calculated values
Space group: I-4, No. 82
Uncorrected formation energy: -0.56 eV per atom

=====

Material: BeTcHg2
Method: DFT, GGA-PBEsol
State: relaxed

a b c (Å): 2.9170 2.9170 8.7782
angles (deg): 80.44 80.44 60.00
Fractional positions:
Be 0.0000 0.0000 0.0000
Tc 0.5000 0.5000 0.5000
Hg 0.7426 0.7426 0.7722
Hg 0.2574 0.2574 0.2278

Calculated values
Energy of formation: 567 meV/atom
Space group: R-3m, No. 166

=====

Material: CuSnSe2N
Method: DFT, GGA-PBEsol
State: relaxed

a b c (Å): 3.9368 5.2669 5.2669
angles (deg): 90.00 90.00 90.00
Each line ends with the local moment (μB).
Fractional positions:
N 0.5000 0.0000 0.0000  0.68
Se 0.0000 0.5000 0.0000  0.24
Se 0.0000 0.0000 0.5000  0.24
Sn 0.0000 0.0000 0.0000  -0.04
Cu 0.5000 0.5000 0.5000  0.11

Calculated values
Energy above the lowest structure with this stoichiometry: 0.538 eV per atom
Space group: P4/mmm, No. 123
Uncorrected formation energy: 1.07 eV per atom

=====

Material: Ni2TeIF
Method: DFT, GGA-PBEsol
State: relaxed

a b c (Å): 4.2058 4.2058 5.4265
angles (deg): 90.00 90.00 90.00
Each line ends with the local moment (μB).
Fractional positions:
Ni 0.0000 0.5000 0.0000  0.73
Ni 0.5000 0.0000 0.0000  0.73
I 0.5000 0.5000 0.5000  0.03
F 0.0000 0.0000 0.0000  0.04
Te 0.0000 0.0000 0.5000  0.03

Calculated values
Space group: P4/mmm, No. 123
Uncorrected formation energy: 0.55 eV per atom

=====

Number 1: uncorrected energy -22.3 eV for the cell shown, density of states at the Fermi level 4.9 states/eV/cell. Number 2: uncorrected energy -19.5 eV for the cell shown, density of states at the Fermi level 3.9 states/eV/cell. Number 3: uncorrected energy -141.3 eV for the cell shown, density of states at the Fermi level 0.0 states/eV/cell. Number 4: uncorrected energy -18.1 eV for the cell shown, density of states at the Fermi level 2.4 states/eV/cell. Number 5: uncorrected energy -30.0 eV for the cell shown, density of states at the Fermi level 3.7 states/eV/cell. Number 6: uncorrected energy -35.5 eV for the cell shown, density of states at the Fermi level 5.6 states/eV/cell. Number 7: uncorrected energy -76.6 eV for the cell shown, density of states at the Fermi level 3.1 states/eV/cell. Number 8: uncorrected energy -36.5 eV for the cell shown, density of states at the Fermi level 3.0 states/eV/cell. Number 9: uncorrected energy -17.2 eV for the cell shown, density of states at the Fermi level 5.3 states/eV/cell. Number 10: uncorrected energy -14.8 eV for the cell shown, density of states at the Fermi level 4.7 states/eV/cell. Number 11: uncorrected energy -16.4 eV for the cell shown, density of states at the Fermi level 2.0 states/eV/cell. Number 12: uncorrected energy -39.4 eV for the cell shown, density of states at the Fermi level 4.1 states/eV/cell. Number 13: uncorrected energy -10.4 eV for the cell shown, density of states at the Fermi level 1.2 states/eV/cell. Number 14: uncorrected energy -27.3 eV for the cell shown, density of states at the Fermi level 1.9 states/eV/cell. Number 15: uncorrected energy -16.7 eV for the cell shown, density of states at the Fermi level 3.7 states/eV/cell. Number 16: uncorrected energy -24.9 eV for the cell shown, density of states at the Fermi level 2.9 states/eV/cell. Number 17: uncorrected energy -13.4 eV for the cell shown, density of states at the Fermi level 2.4 states/eV/cell. Number 18: uncorrected energy -35.4 eV for the cell shown, density of states at the Fermi level 4.8 states/eV/cell. Number 19: uncorrected energy -33.2 eV for the cell shown, density of states at the Fermi level 5.9 states/eV/cell. Number 20: uncorrected energy -20.0 eV for the cell shown, density of states at the Fermi level 3.9 states/eV/cell. Number 21: uncorrected energy -12.8 eV for the cell shown, density of states at the Fermi level 1.1 states/eV/cell. Number 22: uncorrected energy -32.5 eV for the cell shown, density of states at the Fermi level 5.3 states/eV/cell. Number 23: uncorrected energy -31.7 eV for the cell shown, density of states at the Fermi level 3.8 states/eV/cell. Number 24: uncorrected energy -132.1 eV for the cell shown, density of states at the Fermi level 13.1 states/eV/cell. Number 25: uncorrected energy -14.1 eV for the cell shown, density of states at the Fermi level 2.4 states/eV/cell. Number 26: uncorrected energy -19.5 eV for the cell shown, density of states at the Fermi level 5.0 states/eV/cell. Number 27: uncorrected energy -16.8 eV for the cell shown, density of states at the Fermi level 7.8 states/eV/cell.